Entry from Alexandria via LeMat-Bulk: an optimized crystal structure of BaBe2Pd (PBE-GGA).

Cell lengths 5.030, 5.030, 14.558 Å; angles 90.00, 90.00, 90.00 degrees
Fractional coordinates of all 16 atoms:
Ba  0.000  0.250  0.375
Ba  0.000  0.750  0.625
Ba  0.500  0.250  0.125
Ba  0.500  0.750  0.875
Be  0.000  0.000  0.000
Be  0.000  0.500  0.000
Be  0.250  0.250  0.750
Be  0.250  0.750  0.250
Be  0.500  0.000  0.500
Be  0.500  0.500  0.500
Be  0.750  0.250  0.750
Be  0.750  0.750  0.250
Pd  0.000  0.250  0.875
Pd  0.000  0.750  0.125
Pd  0.500  0.250  0.625
Pd  0.500  0.750  0.375

Total magnetization ... 0.00 μB/cell
Excess energy over the best structure of this formula in the dataset ... 0.0 meV per atom
Energy of formation from the pure elements ... -4 meV per atom
Mass density ... 4.7 g/cm³

---

Entry from Alexandria via LeMat-Bulk: an optimized crystal structure of Ba2BePd (PBE-GGA).

Cell lengths 8.524, 8.524, 7.668 Å; angles 90.00, 90.00, 90.00 degrees
Fractional coordinates of all 16 atoms:
Ba  0.236  0.250  0.125
Ba  0.250  0.736  0.375
Ba  0.250  0.764  0.875
Ba  0.264  0.250  0.625
Ba  0.736  0.750  0.625
Ba  0.750  0.236  0.875
Ba  0.750  0.264  0.375
Ba  0.764  0.750  0.125
Be  0.000  0.000  0.500
Be  0.000  0.500  0.750
Be  0.500  0.000  0.250
Be  0.500  0.500  0.000
Pd  0.000  0.000  0.000
Pd  0.000  0.500  0.250
Pd  0.500  0.000  0.750
Pd  0.500  0.500  0.500

Total magnetization ... 0.00 μB/cell
Energy of formation from the pure elements ... 362 meV per atom
Mass density ... 4.7 g/cm³

---

Entry from Alexandria via LeMat-Bulk: an optimized crystal structure of BaBe3Pd (PBE-GGA).

Cell lengths 4.527, 4.527, 4.527 Å; angles 90.00, 90.00, 90.00 degrees
Fractional coordinates of all 5 atoms:
Ba  0.000  0.000  0.000
Be  0.000  0.500  0.500
Be  0.500  0.000  0.500
Be  0.500  0.500  0.000
Pd  0.500  0.500  0.500

Total magnetization ... 0.00 μB/cell
Excess energy over the best structure of this formula in the dataset ... 0.0 meV per atom
Energy of formation from the pure elements ... 101 meV per atom
Mass density ... 4.8 g/cm³

---

Entry from Alexandria via LeMat-Bulk: an optimized crystal structure of BaBePd (PBE-GGA).

Cell lengths 4.509, 6.105, 6.111 Å; angles 105.97, 92.48, 92.98 degrees
Fractional coordinates of all 6 atoms:
Ba  0.000  0.000  0.000
Ba  0.500  0.381  0.616
Be  0.318  0.581  0.181
Be  0.670  0.818  0.418
Pd  0.177  0.854  0.478
Pd  0.810  0.521  0.144

Total magnetization ... 0.00 μB/cell
Excess energy over the best structure of this formula in the dataset ... 53.6 meV per atom
Energy of formation from the pure elements ... -247 meV per atom
Mass density ... 5.2 g/cm³

---

Entry from Alexandria via LeMat-Bulk: an optimized crystal structure of Ba2BeSbPd6 (PBE-GGA).

Cell lengths 6.430, 6.430, 7.179 Å; angles 116.80, 116.80, 59.93 degrees
Fractional coordinates of all 10 atoms:
Ba  0.221  0.221  0.165
Ba  0.779  0.779  0.835
Be  0.000  0.000  0.500
Sb  0.500  0.500  0.000
Pd  0.236  0.236  0.654
Pd  0.237  0.683  0.655
Pd  0.317  0.763  0.345
Pd  0.683  0.237  0.655
Pd  0.763  0.317  0.345
Pd  0.764  0.764  0.346

Total magnetization ... 0.00 μB/cell
Energy relative to the elements, uncorrected ... -0.558 eV per atom
Mass density ... 7.9 g/cm³

---

Entry from Alexandria via LeMat-Bulk: an optimized crystal structure of BaBeSnPd2 (PBE-GGA).

Cell lengths 5.223, 5.223, 4.585 Å; angles 90.00, 90.00, 90.00 degrees
Fractional coordinates of all 5 atoms:
Ba  0.000  0.000  0.000
Be  0.500  0.500  0.000
Sn  0.500  0.500  0.500
Pd  0.000  0.500  0.500
Pd  0.500  0.000  0.500

Total magnetization ... 0.00 μB/cell
Energy of formation from the pure elements ... -95 meV per atom
Mass density ... 6.3 g/cm³